1) GaMoPO2: optimized geometry, PBE+U.

a b c (Å): 3.754 3.754 5.209
angles (deg): 90.00 90.00 90.00
Element x y z (fractional)
Ga 0.000 0.000 0.000
Mo 0.500 0.500 0.500
P 0.000 0.000 0.500
O 0.000 0.500 0.000
O 0.500 0.000 0.000

V ... 73.4 Å³ per cell
DOS(E_F) ... 0.29 states/eV/atom
Crystal system ... tetragonal

***

2) GaMoPO2: optimized geometry, PBE+U.

a b c (Å): 3.858 3.858 5.299
angles (deg): 90.00 90.00 90.00
Element x y z (fractional)
Ga 0.000 0.000 0.000
Mo 0.500 0.500 0.500
P 0.500 0.500 0.000
O 0.000 0.500 0.500
O 0.500 0.000 0.500

V ... 78.9 Å³ per cell
DOS(E_F) ... 0.29 states/eV/atom
Crystal system ... tetragonal

***

Computed relative energies in units of meV per atom: 1) 557; 2) 0